Density functional theory data (PBE) for an optimized crystal structure of Cs2SnSb.

E ... -2.7768 eV per atom
Space group ... No. 44
Distance to the lowest polymorph of the same formula ... 0.000 eV/atom
Formation energy (no corrections) ... -1.275 eV per formula unit

```
Cs2SnSb
1.0
4.536 0.000 0.000
0.000 11.543 0.000
0.000 0.000 7.597
Cs Sn Sb
4 2 2
Direct
0.000 0.188 0.000
0.000 0.812 0.000
0.500 0.312 0.500
0.500 0.688 0.500
0.000 0.500 0.195
0.500 0.000 0.695
0.000 0.000 0.458
0.500 0.500 0.958
```

Density functional theory data (PBE) for an optimized crystal structure of Cs3SnSb4.

E ... -3.1007 eV per atom
Space group ... No. 71
Formation energy (no corrections) ... -1.753 eV per formula unit

```
Cs3SnSb4
1.0
6.266 0.000 0.000
0.000 6.349 0.000
0.000 0.000 20.489
Cs Sn Sb
6 2 8
Direct
0.000 0.000 0.000
0.000 0.500 0.195
0.000 0.500 0.805
0.500 0.000 0.305
0.500 0.000 0.695
0.500 0.500 0.500
0.000 0.000 0.500
0.500 0.500 0.000
0.000 0.283 0.383
0.000 0.283 0.617
0.000 0.717 0.383
0.000 0.717 0.617
0.500 0.217 0.117
0.500 0.217 0.883
0.500 0.783 0.117
0.500 0.783 0.883
```

Copy entry 2 word for word.
Density functional theory data (PBE) for an optimized crystal structure of Cs3SnSb4.

E ... -3.1007 eV per atom
Space group ... No. 71
Formation energy (no corrections) ... -1.753 eV per formula unit

```
Cs3SnSb4
1.0
6.266 0.000 0.000
0.000 6.349 0.000
0.000 0.000 20.489
Cs Sn Sb
6 2 8
Direct
0.000 0.000 0.000
0.000 0.500 0.195
0.000 0.500 0.805
0.500 0.000 0.305
0.500 0.000 0.695
0.500 0.500 0.500
0.000 0.000 0.500
0.500 0.500 0.000
0.000 0.283 0.383
0.000 0.283 0.617
0.000 0.717 0.383
0.000 0.717 0.617
0.500 0.217 0.117
0.500 0.217 0.883
0.500 0.783 0.117
0.500 0.783 0.883
```

> Among the records above, which one has the lowest formation energy (no corrections)?

Cs3SnSb4

> What is the formula in the first record?

Cs2SnSb